# 1
DFT (PBE with a Hubbard U) results for an optimized crystal structure of CsCoBiO4.

Unit cell a=6.1805 b=6.0106 c=8.0275 alpha=90.00 beta=107.97 gamma=90.00
Space group P2_1/m (No. 11)
Inequivalent atoms, fractional coordinates:
Cs1 0.2193 0.2500 0.4456
Co1 0.2414 0.7500 0.1544
Bi1 0.2891 0.2500 0.9698
O1 0.0235 0.7500 0.9451
O2 0.0917 0.7500 0.3080
O3 0.4336 0.5107 0.1668

# 2
DFT (PBE with a Hubbard U) results for an optimized crystal structure of CsCoBi2O.

Unit cell a=5.0653 b=5.0653 c=5.8639 alpha=90.00 beta=90.00 gamma=90.00
Space group P4/mmm (No. 123)
Inequivalent atoms, fractional coordinates:
Cs1 0.0000 0.0000 0.0000
Co1 0.5000 0.5000 0.5000
Bi1 0.0000 0.5000 0.5000
O1 0.5000 0.5000 0.0000

Total moment, respectively: 5.000 0.822 μB per formula unit.
Raw total energy, respectively: -74.75 -16.58 eV for the cell shown.